# 1
The following is a PBE-GGA calculation of Pr4ScAs5 after structural relaxation, from the Alexandria database.

Lattice parameters (Å, degrees): 4.251 4.251 29.829 90.00 90.00 90.00
Space group I4/mmm (No. 139)
Asymmetric unit:
Pr 0.000 0.000 0.097 (multiplicity 4)
Pr 0.000 0.000 0.302 (multiplicity 4)
Sc 0.000 0.000 0.500 (multiplicity 2)
As 0.000 0.000 0.000 (multiplicity 2)
As 0.000 0.000 0.199 (multiplicity 4)
As 0.000 0.000 0.406 (multiplicity 4)

Output
**Total energy**: -6.291 eV per atom
**ΔE_f**: -14.209 eV per formula unit
**Magnetic moment**: 0.00 μB per formula unit

***

# 2
The following is a PBE-GGA calculation of Ho12Tl6Rh after structural relaxation, from the Alexandria database.

Lattice parameters (Å, degrees): 12.1210 12.1210 13.3753 90.00 90.00 120.00
Space group R-3 (No. 148, hexagonal axes)
Asymmetric unit:
Ho 0.0314 0.8427 0.3764 (multiplicity 18)
Ho 0.0331 0.1864 0.8919 (multiplicity 18)
Tl 0.0084 0.3950 0.7606 (multiplicity 18)
Rh 0.0000 0.0000 0.5000 (multiplicity 3)

Output
**Total energy**: -4.217 eV per atom
**ΔE_f**: -3.632 eV per formula unit
**Magnetic moment**: 0.00 μB per formula unit

***

# 3
The following is a PBE-GGA calculation of PrCuSb after structural relaxation, from the Alexandria database.

Lattice parameters (Å, degrees): 4.242 4.242 8.720 90.00 90.00 90.00
Space group I4mm (No. 107)
Asymmetric unit:
Pr 0.000 0.000 0.000 (multiplicity 2)
Cu 0.000 0.000 0.340 (multiplicity 2)
Sb 0.000 0.000 0.643 (multiplicity 2)

Output
**Total energy**: -4.643 eV per atom
**E_form (uncorrected)**: -0.93 eV per formula unit
**Magnetic moment**: 0.00 μB per formula unit

***

# 4
The following is a PBE-GGA calculation of LiPmInSn after structural relaxation, from the Alexandria database.

Lattice parameters (Å, degrees): 7.402 7.402 7.402 90.00 90.00 90.00
Space group F-43m (No. 216)
Asymmetric unit:
Li 0.000 0.000 0.000 (multiplicity 4)
Pm 0.000 0.000 0.500 (multiplicity 4)
In 0.250 0.250 0.250 (multiplicity 4)
Sn 0.250 0.250 0.750 (multiplicity 4)

Output
**Total energy**: -3.767 eV per atom
**ΔE_f**: -1.664 eV per formula unit
**Magnetic moment**: 0.00 μB per formula unit

***

# 5
The following is a PBE-GGA calculation of KBeP2 after structural relaxation, from the Alexandria database.

Lattice parameters (Å, degrees): 4.938 4.938 14.227 90.00 90.00 90.00
Space group I4_1/amd (No. 141, origin choice 2)
Asymmetric unit:
K 0.000 0.250 0.375 (multiplicity 4)
Be 0.000 0.250 0.875 (multiplicity 4)
P 0.000 0.000 0.000 (multiplicity 8)

Output
**Total energy**: -4.059 eV per atom
**ΔE_f**: -0.593 eV per formula unit
**Magnetic moment**: 0.00 μB per formula unit

***

# 6
The following is a PBE-GGA calculation of SrY2Co2 after structural relaxation, from the Alexandria database.

Lattice parameters (Å, degrees): 8.075 8.075 3.550 90.00 90.00 90.00
Space group P4/mbm (No. 127)
Asymmetric unit:
Sr 0.000 0.000 0.000 (multiplicity 2)
Y 0.145 0.355 0.500 (multiplicity 4)
Co 0.139 0.639 0.000 (multiplicity 4)

Output
**Total energy**: -5.644 eV per atom
**ΔE_f**: 0.603 eV per formula unit
**Magnetic moment**: 0.37 μB per formula unit

***

# 7
The following is a PBE-GGA calculation of CeErTlOs after structural relaxation, from the Alexandria database.

Lattice parameters (Å, degrees): 3.365 3.365 8.461 90.00 90.00 90.00
Space group P4mm (No. 99)
Asymmetric unit:
Ce 0.000 0.000 0.000 (multiplicity 1)
Er 0.000 0.000 0.592 (multiplicity 1)
Tl 0.500 0.500 0.304 (multiplicity 1)
Os 0.500 0.500 0.792 (multiplicity 1)

Output
**Total energy**: -6.339 eV per atom
**ΔE_f**: -1.264 eV per formula unit
**Magnetic moment**: 0.29 μB per formula unit

***

# 8
The following is a PBE-GGA calculation of YHfBSb2 after structural relaxation, from the Alexandria database.

Lattice parameters (Å, degrees): 5.639 5.639 5.440 90.00 90.00 90.00
Space group P4/mmm (No. 123)
Asymmetric unit:
Y 0.000 0.000 0.000 (multiplicity 1)
Hf 0.000 0.000 0.500 (multiplicity 1)
B 0.500 0.500 0.500 (multiplicity 1)
Sb 0.000 0.500 0.000 (multiplicity 2)

Output
**Total energy**: -4.469 eV per atom
**E_form (uncorrected)**: 8.99 eV per formula unit
**Magnetic moment**: 0.00 μB per formula unit